# KCuSbI2 (PBE-GGA, optimized geometry)
# crystal system	tetragonal
# E_tot	-0.1279	Ry/atom
# formation energy without anion corrections	0.743	eV per atom
# energy above the lowest structure with this stoichiometry	4.87	eV per formula unit
# M_tot	2.9	Bohr magnetons per cell
# calculated volume	55.60	A^3/atom
data_KCuSbI2
_symmetry_space_group_name_H-M 'P 1'
_symmetry_Int_Tables_number 1
_cell_length_a 6.491
_cell_length_b 6.491
_cell_length_c 6.597
_cell_angle_alpha 90.00
_cell_angle_beta 90.00
_cell_angle_gamma 90.00
loop_
_symmetry_equiv_pos_as_xyz
'x,y,z'
loop_
_atom_site_label
_atom_site_type_symbol
_atom_site_fract_x
_atom_site_fract_y
_atom_site_fract_z
K1 K 0.000 0.000 0.000
Cu1 Cu 0.500 0.500 0.500
Sb1 Sb 0.000 0.000 0.500
I1 I 0.000 0.500 0.000
I2 I 0.500 0.000 0.000